[1]
! Tl2Cr2InS6, relaxed, DFT GGA-PBE; values from VASP
&SYSTEM
  ibrav = 0, nat = 11, ntyp = 4
/
ATOMIC_SPECIES
In 114.82 In.upf
S 32.06 S.upf
Tl 204.38 Tl.upf
Cr 52.00 Cr.upf
ATOMIC_POSITIONS crystal
In 0.000 0.000 0.500
S 0.056 0.419 0.683
Tl 0.841 0.159 0.000
Tl 0.159 0.841 0.000
S 0.697 0.697 0.680
Cr 0.670 0.330 0.500
Cr 0.330 0.670 0.500
S 0.419 0.056 0.683
S 0.303 0.303 0.320
S 0.944 0.581 0.317
S 0.581 0.944 0.317
CELL_PARAMETERS angstrom
-3.156 3.356 4.372
-3.009 -4.257 -3.629
3.288 -4.880 4.705
! - D(E_F): 0.32 states/eV per atom
! - Space-group type: C2/m (12)
! - Uncorrected formation energy: -0.540 eV per atom



[2]
! TiV4In, relaxed, DFT GGA-PBE; values from VASP
&SYSTEM
  ibrav = 0, nat = 6, ntyp = 3
/
ATOMIC_SPECIES
V 50.94 V.upf
In 114.82 In.upf
Ti 47.87 Ti.upf
ATOMIC_POSITIONS crystal
V 0.622 0.622 0.135
V 0.622 0.135 0.622
V 0.622 0.622 0.622
V 0.135 0.622 0.622
In 0.000 0.000 0.000
Ti 0.250 0.250 0.250
CELL_PARAMETERS angstrom
-2.699 -0.756 -4.239
-3.422 -3.752 -0.198
-4.963 1.089 -0.080
! - D(E_F): 1.02 states/eV per atom
! - Calculated formation energy: 0.07 eV per atom
! - Space-group type: F-43m (216)